(1)
VASP calculation (PBE) on a geometry-optimized La4RuW structure.

The calculation puts the volume at 162 Å³/f.u. The total DFT energy (no corrections) comes out at -34.4 eV per formula unit. The formation energy is 1.254 eV per atom. The size of the total moment is 2.32 μB per formula unit.

The structure belongs to space group F-43m (No. 216); the cell edges are 8.6476, 8.6476 and 8.6476 Å and the angles 90.00°, 90.00° and 90.00°. The inequivalent atoms are La at (0.1248, 0.1248, 0.1248), Ru at (0.2500, 0.2500, 0.7500) and W at (0.0000, 0.0000, 0.5000).


(2)
VASP calculation (PBE) on a geometry-optimized LaRuW2 structure.

The calculation puts the volume at 77 Å³/f.u. The total DFT energy (no corrections) comes out at -37.5 eV per formula unit. The formation energy is 0.650 eV per atom. The size of the total moment is 0.00 μB per formula unit.

The structure belongs to space group Imm2 (No. 44); the cell edges are 3.1421, 5.2303 and 9.3571 Å and the angles 90.00°, 90.00° and 90.00°. The inequivalent atoms are La at (0.0000, 0.0000, 0.0000), Ru at (0.0000, 0.5000, 0.2304), W at (0.0000, 0.0000, 0.5028) and W at (0.0000, 0.5000, 0.7818).